Computed, not measured: crystalline Zr3CO at its relaxed geometry at the PBE level of DFT.

```
data_Zr3CO
_space_group_name_H-M_alt 'P m -3 m'
_space_group_IT_number 221
_space_group_name_Hall '-P 4 2 3'
_cell_length_a 4.307
_cell_length_b 4.307
_cell_length_c 4.307
_cell_angle_alpha 90.00
_cell_angle_beta 90.00
_cell_angle_gamma 90.00
loop_
_atom_site_label
_atom_site_type_symbol
_atom_site_fract_x
_atom_site_fract_y
_atom_site_fract_z
_atom_site_occupancy
Zr1 Zr 0.000 0.000 0.500 1
C1 C 0.500 0.500 0.500 1
O1 O 0.000 0.000 0.000 1
```

## Properties
energy relative to the lowest polymorph listed for this composition = 389 kJ/mol of formula units

---

Computed, not measured: crystalline Cu2OsSe at its relaxed geometry at the PBE level of DFT.

```
data_Cu2OsSe
_space_group_name_H-M_alt 'P m m m'
_space_group_IT_number 47
_space_group_name_Hall '-P 2 2'
_cell_length_a 3.095
_cell_length_b 4.246
_cell_length_c 4.303
_cell_angle_alpha 90.00
_cell_angle_beta 90.00
_cell_angle_gamma 90.00
loop_
_atom_site_label
_atom_site_type_symbol
_atom_site_fract_x
_atom_site_fract_y
_atom_site_fract_z
_atom_site_occupancy
Cu1 Cu 0.000 0.000 0.000 1
Cu2 Cu 0.500 0.500 0.000 1
Os1 Os 0.000 0.500 0.500 1
Se1 Se 0.500 0.000 0.500 1
```

---

Computed, not measured: crystalline Fe2IrCl at its relaxed geometry at the PBE level of DFT.

```
data_Fe2IrCl
_space_group_name_H-M_alt 'I m m 2'
_space_group_IT_number 44
_space_group_name_Hall 'I 2 -2'
_cell_length_a 2.807
_cell_length_b 4.511
_cell_length_c 9.011
_cell_angle_alpha 90.00
_cell_angle_beta 90.00
_cell_angle_gamma 90.00
loop_
_atom_site_label
_atom_site_type_symbol
_atom_site_fract_x
_atom_site_fract_y
_atom_site_fract_z
_atom_site_occupancy
Fe1 Fe 0.000 0.000 0.000 1
Fe2 Fe 0.000 0.500 0.243 1
Ir1 Ir 0.000 0.500 0.752 1
Cl1 Cl 0.000 0.000 0.513 1
```

## Properties
energy relative to the lowest polymorph listed for this composition = 156 kJ/mol of formula units

---

Computed, not measured: crystalline Zr2InBi at its relaxed geometry at the PBE level of DFT.

```
data_Zr2InBi
_space_group_name_H-M_alt 'R -3 m'
_space_group_IT_number 166
_space_group_name_Hall '-R 3 2"'
_cell_length_a 4.1080
_cell_length_b 4.1080
_cell_length_c 21.2915
_cell_angle_alpha 90.00
_cell_angle_beta 90.00
_cell_angle_gamma 120.00
loop_
_atom_site_label
_atom_site_type_symbol
_atom_site_fract_x
_atom_site_fract_y
_atom_site_fract_z
_atom_site_occupancy
Zr1 Zr 0.0000 0.0000 0.2471 1
In1 In 0.0000 0.0000 0.5000 1
Bi1 Bi 0.0000 0.0000 0.0000 1
```

## Properties
energy relative to the lowest polymorph listed for this composition = 31 kJ/mol of formula units
energy of formation = -0.105 eV per atom

---

Computed, not measured: crystalline CaScTl at its relaxed geometry at the PBE level of DFT.

```
data_CaScTl
_space_group_name_H-M_alt 'P n m a'
_space_group_IT_number 62
_space_group_name_Hall '-P 2ac 2n'
_cell_length_a 7.790
_cell_length_b 4.959
_cell_length_c 8.745
_cell_angle_alpha 90.00
_cell_angle_beta 90.00
_cell_angle_gamma 90.00
loop_
_atom_site_label
_atom_site_type_symbol
_atom_site_fract_x
_atom_site_fract_y
_atom_site_fract_z
_atom_site_occupancy
Ca1 Ca 0.014 0.250 0.190 1
Sc1 Sc 0.158 0.250 0.575 1
Tl1 Tl 0.225 0.750 0.399 1
```

## Properties
energy relative to the lowest polymorph listed for this composition = 0 kJ/mol of formula units
energy of formation = -0.287 eV per atom

---

Computed, not measured: crystalline FeH2Rh at its relaxed geometry at the PBE level of DFT.

```
data_FeH2Rh
_space_group_name_H-M_alt 'C 1 2/m 1'
_space_group_IT_number 12
_space_group_name_Hall '-C 2y'
_cell_length_a 10.189
_cell_length_b 2.789
_cell_length_c 4.800
_cell_angle_alpha 90.00
_cell_angle_beta 116.63
_cell_angle_gamma 90.00
loop_
_atom_site_label
_atom_site_type_symbol
_atom_site_fract_x
_atom_site_fract_y
_atom_site_fract_z
_atom_site_occupancy
Fe1 Fe 0.132 0.000 0.302 1
H1 H 0.000 0.000 0.500 1
H2 H 0.000 0.500 0.000 1
H3 H 0.248 0.500 0.253 1
Rh1 Rh 0.119 0.500 0.795 1
```

---

Computed, not measured: crystalline AgSnSN2 at its relaxed geometry at the PBE level of DFT.

```
data_AgSnSN2
_space_group_name_H-M_alt 'P 4/m m m'
_space_group_IT_number 123
_space_group_name_Hall '-P 4 2'
_cell_length_a 4.148
_cell_length_b 4.148
_cell_length_c 5.313
_cell_angle_alpha 90.00
_cell_angle_beta 90.00
_cell_angle_gamma 90.00
loop_
_atom_site_label
_atom_site_type_symbol
_atom_site_fract_x
_atom_site_fract_y
_atom_site_fract_z
_atom_site_occupancy
Ag1 Ag 0.000 0.000 0.000 1
Sn1 Sn 0.500 0.500 0.500 1
S1 S 0.500 0.500 0.000 1
N1 N 0.000 0.500 0.500 1
```

## Properties
energy relative to the lowest polymorph listed for this composition = 0 kJ/mol of formula units

---

Computed, not measured: crystalline Th2CrSe2Br4 at its relaxed geometry at the PBE level of DFT.

```
data_Th2CrSe2Br4
_space_group_name_H-M_alt 'P 3 m 1'
_space_group_IT_number 156
_space_group_name_Hall 'P 3 -2"'
_cell_length_a 3.6840
_cell_length_b 3.6840
_cell_length_c 23.1466
_cell_angle_alpha 90.00
_cell_angle_beta 90.00
_cell_angle_gamma 120.00
loop_
_atom_site_label
_atom_site_type_symbol
_atom_site_fract_x
_atom_site_fract_y
_atom_site_fract_z
_atom_site_occupancy
Th1 Th 0.0000 0.0000 0.0000 1
Th2 Th 0.3333 0.6667 0.3565 1
Cr1 Cr 0.3333 0.6667 0.6869 1
Se1 Se 0.0000 0.0000 0.6232 1
Se2 Se 0.0000 0.0000 0.7507 1
Br1 Br 0.0000 0.0000 0.2628 1
Br2 Br 0.0000 0.0000 0.4496 1
Br3 Br 0.3333 0.6667 0.0937 1
Br4 Br 0.3333 0.6667 0.9071 1
```

---

Across the entries above, total DFT energy (no corrections) takes the values -8.07; -5.16; -6.38; -6.03; -3.85; -5.65; -4.27; -5.26 eV/atom, respectively.
Across the entries above, V takes the values 16.0; 14.1; 14.3; 25.9; 28.2; 7.6; 18.3; 30.2 Å³ per atom, respectively.